# 1
Tb6Sn2C | PBE | relaxed

Cell and atoms, written as POSCAR:
```
Tb6Sn2C
1.0
-2.5030 3.4693 7.2028
2.5030 -3.4693 7.2028
2.5030 3.4693 -7.2028
Tb Sn C
6 2 1
direct
0.0881 0.3526 0.7355
0.2235 0.0000 0.2235
0.3829 0.6474 0.7355
0.6171 0.3526 0.2645
0.7765 0.0000 0.7765
0.9119 0.6474 0.2645
0.3314 0.8314 0.5000
0.6686 0.1686 0.5000
0.0000 0.5000 0.5000
```

Calculated values
crystal system	orthorhombic
energy of formation from the pure elements	-0.11	eV per atom
uncorrected energy	-5.11	eV per atom

---

# 2
RbPrS2 | PBE | relaxed

Cell and atoms, written as POSCAR:
```
RbPrS2
1.0
4.2356 0.0000 0.0000
-2.1178 3.6681 0.0000
0.0000 0.0000 23.6046
Rb Pr S
3 3 6
direct
0.0000 0.0000 0.0000
0.3333 0.6667 0.6667
0.6667 0.3333 0.3333
0.0000 0.0000 0.1696
0.3333 0.6667 0.8362
0.6667 0.3333 0.5029
0.0000 0.0000 0.5688
0.0000 0.0000 0.7706
0.3333 0.6667 0.2355
0.3333 0.6667 0.4373
0.6667 0.3333 0.1039
0.6667 0.3333 0.9022
```

Calculated values
crystal system	trigonal
uncorrected energy	-5.29	eV per atom

---

# 3
Sc2CrW2 | PBE | relaxed

Cell and atoms, written as POSCAR:
```
Sc2CrW2
1.0
6.2470 0.0000 0.0000
0.0000 6.2470 0.0000
0.0000 0.0000 4.7829
Sc Cr W
4 2 4
direct
0.1689 0.3311 0.0000
0.3311 0.8311 0.0000
0.6689 0.1689 0.0000
0.8311 0.6689 0.0000
0.0000 0.0000 0.5000
0.5000 0.5000 0.5000
0.1457 0.6457 0.5000
0.3543 0.1457 0.5000
0.6457 0.8543 0.5000
0.8543 0.3543 0.5000
```

Calculated values
crystal system	tetragonal
energy of formation from the pure elements	0.35	eV per atom
uncorrected energy	-9.29	eV per atom

---

# 4
NdLuPtPb | PBE | relaxed

Cell and atoms, written as POSCAR:
```
NdLuPtPb
1.0
7.3955 0.0000 0.0000
0.0000 7.3955 0.0000
0.0000 0.0000 7.3955
Nd Lu Pt Pb
4 4 4 4
direct
0.0000 0.0000 0.0000
0.0000 0.5000 0.5000
0.5000 0.0000 0.5000
0.5000 0.5000 0.0000
0.0000 0.0000 0.5000
0.0000 0.5000 0.0000
0.5000 0.0000 0.0000
0.5000 0.5000 0.5000
0.2500 0.2500 0.7500
0.2500 0.7500 0.2500
0.7500 0.2500 0.2500
0.7500 0.7500 0.7500
0.2500 0.2500 0.2500
0.2500 0.7500 0.7500
0.7500 0.2500 0.7500
0.7500 0.7500 0.2500
```

Calculated values
crystal system	cubic
energy of formation from the pure elements	-0.69	eV per atom
uncorrected energy	-5.45	eV per atom

---

# 5
Zr2BiPd8 | PBE | relaxed

Cell and atoms, written as POSCAR:
```
Zr2BiPd8
1.0
7.3167 -2.0734 0.0000
7.3167 2.0734 0.0000
-1.9338 0.0000 6.3215
Zr Bi Pd
2 1 8
direct
0.2170 0.2170 0.1624
0.7830 0.7830 0.8376
0.5000 0.5000 0.5000
0.0421 0.0421 0.2206
0.1505 0.1505 0.7068
0.3200 0.3200 0.5896
0.4035 0.4035 0.0410
0.5965 0.5965 0.9590
0.6800 0.6800 0.4104
0.8495 0.8495 0.2932
0.9579 0.9579 0.7794
```

Calculated values
crystal system	monoclinic
energy of formation from the pure elements	-0.53	eV per atom
uncorrected energy	-6.21	eV per atom

---

# 6
NaTl2Cu2Cl6 | PBE | relaxed

Cell and atoms, written as POSCAR:
```
NaTl2Cu2Cl6
1.0
6.3846 -3.5790 0.0000
6.3846 3.5790 0.0000
-3.8107 0.0000 6.9909
Na Tl Cu Cl
1 2 2 6
direct
0.0000 0.0000 0.0000
0.2151 0.2151 0.6857
0.7849 0.7849 0.3143
0.4451 0.4451 0.2459
0.5549 0.5549 0.7541
0.1909 0.6813 0.6967
0.2525 0.2525 0.1245
0.3187 0.8091 0.3033
0.6813 0.1909 0.6967
0.7475 0.7475 0.8755
0.8091 0.3187 0.3033
```

Calculated values
crystal system	monoclinic
uncorrected energy	-3.21	eV per atom

---

# 7
AcZnPtN | PBE | relaxed

Cell and atoms, written as POSCAR:
```
AcZnPtN
1.0
4.0343 0.0000 0.0000
0.0000 4.0343 0.0000
0.0000 0.0000 9.2103
Ac Zn Pt N
2 2 2 2
direct
0.2500 0.2500 0.1503
0.7500 0.7500 0.8497
0.2500 0.2500 0.6684
0.7500 0.7500 0.3316
0.2500 0.7500 0.5000
0.7500 0.2500 0.5000
0.2500 0.2500 0.8822
0.7500 0.7500 0.1178
```

Calculated values
crystal system	tetragonal
uncorrected energy	-5.73	eV per atom

---

# 8
Zr2IrI | PBE | relaxed

Cell and atoms, written as POSCAR:
```
Zr2IrI
1.0
6.9144 0.0000 0.0000
0.0000 6.9144 0.0000
0.0000 0.0000 6.9144
Zr Ir I
8 4 4
direct
0.2500 0.2500 0.2500
0.2500 0.2500 0.7500
0.2500 0.7500 0.2500
0.2500 0.7500 0.7500
0.7500 0.2500 0.2500
0.7500 0.2500 0.7500
0.7500 0.7500 0.2500
0.7500 0.7500 0.7500
0.0000 0.0000 0.0000
0.0000 0.5000 0.5000
0.5000 0.0000 0.5000
0.5000 0.5000 0.0000
0.0000 0.0000 0.5000
0.0000 0.5000 0.0000
0.5000 0.0000 0.0000
0.5000 0.5000 0.5000
```

Calculated values
crystal system	cubic
uncorrected energy	-6.96	eV per atom

---

# 9
MnIn2Se | PBE | relaxed

Cell and atoms, written as POSCAR:
```
MnIn2Se
1.0
7.9511 0.0000 0.0000
0.0000 7.9511 0.0000
0.0000 0.0000 6.0083
Mn In Se
4 8 4
direct
0.0000 0.0000 0.0000
0.0000 0.5000 0.2500
0.5000 0.0000 0.7500
0.5000 0.5000 0.5000
0.2487 0.2500 0.1250
0.2500 0.7487 0.3750
0.2500 0.7513 0.8750
0.2513 0.2500 0.6250
0.7487 0.7500 0.6250
0.7500 0.2487 0.8750
0.7500 0.2513 0.3750
0.7513 0.7500 0.1250
0.0000 0.0000 0.5000
0.0000 0.5000 0.7500
0.5000 0.0000 0.2500
0.5000 0.5000 0.0000
```

Calculated values
crystal system	tetragonal
uncorrected energy	-4.39	eV per atom

---

# 10
BeAsOsRu | PBE | relaxed

Cell and atoms, written as POSCAR:
```
BeAsOsRu
1.0
5.8660 0.0000 0.0000
0.0000 5.8660 0.0000
0.0000 0.0000 5.8660
Be As Os Ru
4 4 4 4
direct
0.0000 0.0000 0.0000
0.0000 0.5000 0.5000
0.5000 0.0000 0.5000
0.5000 0.5000 0.0000
0.0000 0.0000 0.5000
0.0000 0.5000 0.0000
0.5000 0.0000 0.0000
0.5000 0.5000 0.5000
0.2500 0.2500 0.2500
0.2500 0.7500 0.7500
0.7500 0.2500 0.7500
0.7500 0.7500 0.2500
0.2500 0.2500 0.7500
0.2500 0.7500 0.2500
0.7500 0.2500 0.2500
0.7500 0.7500 0.7500
```

Calculated values
crystal system	cubic
energy of formation from the pure elements	-0.05	eV per atom
uncorrected energy	-7.27	eV per atom

---

# 11
ErTm5In3 | PBE | relaxed

Cell and atoms, written as POSCAR:
```
ErTm5In3
1.0
9.2188 0.0000 0.0000
-4.6094 7.9837 0.0000
0.0000 0.0000 6.6501
Er Tm In
2 10 6
direct
0.0000 0.0000 0.0000
0.0000 0.0000 0.5000
0.0000 0.3334 0.2500
0.0000 0.6666 0.7500
0.3334 0.0000 0.2500
0.3334 0.3334 0.7500
0.3333 0.6667 0.0000
0.3333 0.6667 0.5000
0.6666 0.0000 0.7500
0.6667 0.3333 0.0000
0.6667 0.3333 0.5000
0.6666 0.6666 0.2500
0.0000 0.3336 0.7500
0.0000 0.6664 0.2500
0.3336 0.0000 0.7500
0.3336 0.3336 0.2500
0.6664 0.0000 0.2500
0.6664 0.6664 0.7500
```

Calculated values
crystal system	hexagonal
energy of formation from the pure elements	-0.35	eV per atom
uncorrected energy	-4.25	eV per atom

---

# 12
PrNdGaIr | PBE | relaxed

Cell and atoms, written as POSCAR:
```
PrNdGaIr
1.0
7.2789 0.0000 0.0000
0.0000 7.2789 0.0000
0.0000 0.0000 7.2789
Pr Nd Ga Ir
4 4 4 4
direct
0.0000 0.0000 0.0000
0.0000 0.5000 0.5000
0.5000 0.0000 0.5000
0.5000 0.5000 0.0000
0.0000 0.0000 0.5000
0.0000 0.5000 0.0000
0.5000 0.0000 0.0000
0.5000 0.5000 0.5000
0.2500 0.2500 0.2500
0.2500 0.7500 0.7500
0.7500 0.2500 0.7500
0.7500 0.7500 0.2500
0.2500 0.2500 0.7500
0.2500 0.7500 0.2500
0.7500 0.2500 0.2500
0.7500 0.7500 0.7500
```

Calculated values
crystal system	cubic
energy of formation from the pure elements	-0.49	eV per atom
uncorrected energy	-5.85	eV per atom

---

# 13
LaHoTh14 | PBE | relaxed

Cell and atoms, written as POSCAR:
```
LaHoTh14
1.0
11.6193 0.0000 0.0000
0.0000 3.5890 6.2243
0.0000 -3.5890 6.2243
La Ho Th
1 1 14
direct
0.0000 0.0000 0.0000
0.0000 0.4988 0.4988
0.0000 0.4939 0.9994
0.0000 0.9994 0.4939
0.2497 0.6650 0.6650
0.2511 0.1658 0.6639
0.2511 0.6639 0.1658
0.2520 0.1657 0.1657
0.5000 0.3321 0.3321
0.5000 0.3319 0.8313
0.5000 0.8313 0.3319
0.5000 0.8317 0.8317
0.7480 0.1657 0.1657
0.7489 0.1658 0.6639
0.7489 0.6639 0.1658
0.7503 0.6650 0.6650
```

Calculated values
crystal system	orthorhombic
energy of formation from the pure elements	0.04	eV per atom
uncorrected energy	-7.05	eV per atom